Record 1
An optimized crystal structure of Ac6TeP5, computed with PBE.

Computed properties:
Symmetry: C2/m, No. 12
Uncorrected formation energy (kJ/mol of formula units): -1744

Lattice parameters (Å, degrees): 7.787 7.787 7.783 99.65 99.65 119.93
Sites, in units of the cell vectors:
P 0.837 0.163 0.500
P 0.667 0.333 0.000
P 0.500 0.500 0.500
P 0.333 0.667 0.000
P 0.163 0.837 0.500
Ac 0.437 0.086 0.258
Ac 0.914 0.563 0.742
Ac 0.263 0.263 0.740
Ac 0.737 0.737 0.260
Ac 0.086 0.437 0.258
Ac 0.563 0.914 0.742
Te 0.000 0.000 0.000

=====

Record 2
An optimized crystal structure of AcTeP, computed with PBE.

Computed properties:
Symmetry: Pnma, No. 62
Energy relative to the lowest polymorph listed for this composition (kJ/mol of formula units): 0
Uncorrected formation energy (kJ/mol of formula units): -350

Lattice parameters (Å, degrees): 6.200 6.349 18.958 90.00 90.00 90.00
Sites, in units of the cell vectors:
Ac 0.250 0.480 0.138
Ac 0.750 0.020 0.638
Ac 0.250 0.980 0.362
Ac 0.750 0.520 0.862
Ac 0.250 0.015 0.880
Ac 0.750 0.485 0.380
Ac 0.250 0.515 0.620
Ac 0.750 0.985 0.120
Te 0.250 0.483 0.321
Te 0.750 0.017 0.821
Te 0.250 0.983 0.179
Te 0.750 0.517 0.679
Te 0.250 0.013 0.692
Te 0.750 0.487 0.192
Te 0.250 0.513 0.808
Te 0.750 0.987 0.308
P 0.063 0.169 0.497
P 0.937 0.331 0.997
P 0.437 0.669 0.003
P 0.563 0.831 0.503
P 0.937 0.831 0.503
P 0.063 0.669 0.003
P 0.563 0.331 0.997
P 0.437 0.169 0.497

=====

Question: The lowest uncorrected formation energy belongs to which entry?
Answer: Ac6TeP5

=====

Question: Which formula does entry 1 have?
Answer: Ac6TeP5

=====

Question: Which of these has the lowest uncorrected formation energy?
Answer: Ac6TeP5